[1]
Here is crystalline Sm6Er2TmTh at its relaxed geometry from the Alexandria database. Energies are from GGA-PBE.

Calculated values
As for the formation energy: 0.15 eV/atom.

a = 9.497 Å, b = 8.826 Å, c = 8.826 Å
α = 116.05°, β = 93.25°, γ = 93.25°
Fractional positions:
Sm (0.059, 0.114, 0.765)
Sm (0.441, 0.235, 0.886)
Sm (0.941, 0.886, 0.235)
Sm (0.559, 0.765, 0.114)
Sm (0.312, 0.993, 0.430)
Sm (0.188, 0.570, 0.007)
Sm (0.688, 0.007, 0.570)
Sm (0.812, 0.430, 0.993)
Sm (0.115, 0.706, 0.482)
Sm (0.385, 0.518, 0.294)
Sm (0.885, 0.294, 0.518)
Sm (0.615, 0.482, 0.706)
Er (0.447, 0.796, 0.701)
Er (0.053, 0.299, 0.204)
Er (0.553, 0.204, 0.299)
Er (0.947, 0.701, 0.796)
Tm (0.250, 0.411, 0.589)
Tm (0.750, 0.589, 0.411)
Th (0.250, 0.968, 0.032)
Th (0.750, 0.032, 0.968)

---

[2]
Here is crystalline Dy3Lu at its relaxed geometry from the Alexandria database. Energies are from GGA-PBE.

Calculated values
The energy above the most stable polymorph in this dataset comes out at 0.0 meV per atom. As for the formation energy: 0.00 eV/atom.

a = 7.163 Å, b = 7.163 Å, c = 5.593 Å
α = 90.00°, β = 90.00°, γ = 120.00°
Fractional positions:
Dy (0.833, 0.167, 0.750)
Dy (0.334, 0.167, 0.750)
Dy (0.833, 0.666, 0.750)
Dy (0.167, 0.833, 0.250)
Dy (0.666, 0.833, 0.250)
Dy (0.167, 0.334, 0.250)
Lu (0.667, 0.333, 0.250)
Lu (0.333, 0.667, 0.750)

---

[3]
Here is crystalline BaNd2SiN4 at its relaxed geometry from the Alexandria database. Energies are from GGA-PBE.

Calculated values
Its formation energy without anion corrections is -1108.3 meV per atom.

a = 3.511 Å, b = 6.546 Å, c = 12.064 Å
α = 90.00°, β = 90.00°, γ = 105.56°
Fractional positions:
Ba (0.089, 0.178, 0.750)
Ba (0.911, 0.822, 0.250)
Nd (0.368, 0.736, 0.541)
Nd (0.632, 0.264, 0.041)
Nd (0.632, 0.264, 0.459)
Nd (0.368, 0.736, 0.959)
Si (0.811, 0.621, 0.750)
Si (0.189, 0.379, 0.250)
N (0.260, 0.519, 0.127)
N (0.740, 0.481, 0.627)
N (0.740, 0.481, 0.873)
N (0.260, 0.519, 0.373)
N (0.000, 0.000, 0.500)
N (0.000, 0.000, 0.000)
N (0.387, 0.775, 0.750)
N (0.613, 0.225, 0.250)

---

In eV/atom, the uncorrected energy values for the records above are, in order, -4.7862; -4.5775; -7.3811.